Entry a
Material: Sr2VTc
Method: DFT, PBE-GGA
State: relaxed

Cell lengths 5.408, 5.408, 5.408 Å; angles 60.00, 60.00, 60.00 degrees
Sites, in units of the cell vectors:
Sr 0.250 0.250 0.250
Sr 0.750 0.750 0.750
V 0.000 0.000 0.000
Tc 0.500 0.500 0.500

- crystal system = cubic
- theoretical density (g/cm3) = 4.81
- space-group type = No. 225



Entry b
Material: Sr2VTc
Method: DFT, PBE-GGA
State: relaxed

Cell lengths 6.809, 6.809, 6.809 Å; angles 101.39, 101.39, 127.24 degrees
Sites, in units of the cell vectors:
Sr 0.102 0.625 0.977
Sr 0.375 0.352 0.477
Sr 0.648 0.125 0.023
Sr 0.875 0.898 0.523
V 0.250 0.750 0.500
V 0.500 0.500 0.000
Tc 0.000 0.000 0.000
Tc 0.750 0.250 0.500

- crystal system = tetragonal
- theoretical density (g/cm3) = 4.78
- space-group type = No. 122



How do the energies compare? Relative to the most stable structure, in meV per atom: entry a 0; entry b 158.



Entry a
Material: SrTc2W
Method: DFT, PBE-GGA
State: relaxed

Cell lengths 3.141, 4.542, 5.038 Å; angles 90.00, 90.00, 90.00 degrees
Sites, in units of the cell vectors:
Sr 0.000 0.000 0.000
Tc 0.000 0.500 0.500
Tc 0.500 0.500 0.000
W 0.500 0.000 0.500

- crystal system = orthorhombic
- theoretical density (g/cm3) = 10.80
- space-group type = No. 47



Entry b
Material: SrTc2W
Method: DFT, PBE-GGA
State: relaxed

Cell lengths 5.506, 5.506, 2.722 Å; angles 100.87, 100.87, 112.16 degrees
Sites, in units of the cell vectors:
Sr 0.000 0.000 0.000
Tc 0.000 0.500 0.500
Tc 0.500 0.000 0.500
W 0.500 0.500 0.000

- crystal system = monoclinic
- theoretical density (g/cm3) = 10.79
- space-group type = No. 12



Entry c
Material: SrTc2W
Method: DFT, PBE-GGA
State: relaxed

Cell lengths 3.268, 3.268, 7.658 Å; angles 90.00, 90.00, 90.00 degrees
Sites, in units of the cell vectors:
Sr 0.000 0.000 0.000
Tc 0.000 0.000 0.491
Tc 0.500 0.500 0.327
W 0.500 0.500 0.663

- crystal system = tetragonal
- theoretical density (g/cm3) = 9.49
- space-group type = No. 99



Entry d
Material: SrTc2W
Method: DFT, PBE-GGA
State: relaxed

Cell lengths 5.161, 5.161, 5.161 Å; angles 132.58, 132.58, 69.31 degrees
Sites, in units of the cell vectors:
Sr 0.000 0.000 0.000
Tc 0.250 0.750 0.500
Tc 0.500 0.500 0.000
W 0.750 0.250 0.500

- crystal system = tetragonal
- theoretical density (g/cm3) = 10.61
- space-group type = No. 119



How do the energies compare? Relative to the most stable structure, in meV per atom: entry a 487; entry b 292; entry c 0; entry d 624.



Entry a
Material: SrTc2W
Method: DFT, PBE-GGA
State: relaxed

Cell lengths 10.350, 10.350, 10.350 Å; angles 15.88, 15.88, 15.88 degrees
Sites, in units of the cell vectors:
Sr 0.000 0.000 0.000
Tc 0.495 0.495 0.495
Tc 0.760 0.760 0.760
W 0.237 0.237 0.237

- crystal system = trigonal
- theoretical density (g/cm3) = 10.73
- space-group type = No. 160



Entry b
Material: SrTc2W
Method: DFT, PBE-GGA
State: relaxed

Cell lengths 5.726, 5.726, 5.726 Å; angles 149.13, 127.89, 61.80 degrees
Sites, in units of the cell vectors:
Sr 0.000 0.000 0.000
Tc 0.498 0.498 0.000
Tc 0.719 0.219 0.500
W 0.287 0.787 0.500

- crystal system = orthorhombic
- theoretical density (g/cm3) = 10.30
- space-group type = No. 44



Entry c
Material: SrTc2W
Method: DFT, PBE-GGA
State: relaxed

Cell lengths 4.649, 4.649, 4.649 Å; angles 60.00, 60.00, 60.00 degrees
Sites, in units of the cell vectors:
Sr 0.000 0.000 0.000
Tc 0.250 0.250 0.250
Tc 0.750 0.750 0.750
W 0.500 0.500 0.500

- crystal system = cubic
- theoretical density (g/cm3) = 10.93
- space-group type = No. 225



How do the energies compare? Relative to the most stable structure, in meV per atom: entry a 8; entry b 33; entry c 0.



Entry a
Material: SrTc2W
Method: DFT, PBE-GGA
State: relaxed

Cell lengths 5.584, 5.584, 5.584 Å; angles 147.56, 123.27, 66.89 degrees
Sites, in units of the cell vectors:
Sr 0.000 0.000 0.000
Tc 0.284 0.784 0.500
Tc 0.716 0.216 0.500
W 0.500 0.500 0.000

- crystal system = orthorhombic
- theoretical density (g/cm3) = 10.07
- space-group type = No. 71



Entry b
Material: SrTc2W
Method: DFT, PBE-GGA
State: relaxed

Cell lengths 9.265, 9.265, 9.265 Å; angles 19.44, 19.44, 19.44 degrees
Sites, in units of the cell vectors:
Sr 0.000 0.000 0.000
Tc 0.235 0.235 0.235
Tc 0.765 0.765 0.765
W 0.500 0.500 0.500

- crystal system = trigonal
- theoretical density (g/cm3) = 10.08
- space-group type = No. 166



How do the energies compare? Relative to the most stable structure, in meV per atom: entry a 160; entry b 0.



Entry a
Material: Sr2TcW
Method: DFT, PBE-GGA
State: relaxed

Cell lengths 5.256, 5.256, 5.256 Å; angles 60.00, 60.00, 60.00 degrees
Sites, in units of the cell vectors:
Sr 0.250 0.250 0.250
Sr 0.750 0.750 0.750
Tc 0.000 0.000 0.000
W 0.500 0.500 0.500

- crystal system = cubic
- theoretical density (g/cm3) = 7.39
- space-group type = No. 225



Entry b
Material: Sr2TcW
Method: DFT, PBE-GGA
State: relaxed

Cell lengths 8.620, 8.620, 8.620 Å; angles 94.10, 94.10, 148.98 degrees
Sites, in units of the cell vectors:
Sr 0.375 0.201 0.326
Sr 0.799 0.125 0.174
Sr 0.875 0.049 0.674
Sr 0.951 0.625 0.826
Tc 0.000 0.000 0.000
Tc 0.750 0.250 0.500
W 0.250 0.750 0.500
W 0.500 0.500 0.000

- crystal system = tetragonal
- theoretical density (g/cm3) = 4.77
- space-group type = No. 122



Entry c
Material: Sr2TcW
Method: DFT, PBE-GGA
State: relaxed

Cell lengths 6.091, 6.091, 2.882 Å; angles 90.00, 90.00, 123.83 degrees
Sites, in units of the cell vectors:
Sr 0.000 0.500 0.000
Sr 0.500 0.000 0.000
Tc 0.000 0.000 0.500
W 0.500 0.500 0.500

- crystal system = orthorhombic
- theoretical density (g/cm3) = 8.55
- space-group type = No. 65



Entry d
Material: Sr2TcW
Method: DFT, PBE-GGA
State: relaxed

Cell lengths 5.633, 5.633, 5.712 Å; angles 93.13, 93.13, 29.61 degrees
Sites, in units of the cell vectors:
Sr 0.247 0.247 0.253
Sr 0.753 0.753 0.747
Tc 0.000 0.000 0.500
W 0.500 0.500 0.000

- crystal system = monoclinic
- theoretical density (g/cm3) = 8.49
- space-group type = No. 12



How do the energies compare? Relative to the most stable structure, in meV per atom: entry a 500; entry b 0; entry c 74; entry d 240.



Entry a
Material: Sr2TcW
Method: DFT, PBE-GGA
State: relaxed

Cell lengths 6.096, 6.096, 6.096 Å; angles 141.08, 141.08, 56.22 degrees
Sites, in units of the cell vectors:
Sr 0.250 0.750 0.500
Sr 0.750 0.250 0.500
Tc 0.000 0.000 0.000
W 0.500 0.500 0.000

- crystal system = tetragonal
- theoretical density (g/cm3) = 8.56
- space-group type = No. 139



Entry b
Material: Sr2TcW
Method: DFT, PBE-GGA
State: relaxed

Cell lengths 9.559, 9.559, 9.559 Å; angles 159.15, 156.96, 31.27 degrees
Sites, in units of the cell vectors:
Sr 0.149 0.149 0.000
Sr 0.851 0.851 0.000
Tc 0.000 0.500 0.500
W 0.500 0.000 0.500

- crystal system = orthorhombic
- theoretical density (g/cm3) = 6.24
- space-group type = No. 71



Entry c
Material: Sr2TcW
Method: DFT, PBE-GGA
State: relaxed

Cell lengths 10.894, 10.894, 10.894 Å; angles 16.54, 16.54, 16.54 degrees
Sites, in units of the cell vectors:
Sr 0.247 0.247 0.247
Sr 0.753 0.753 0.753
Tc 0.500 0.500 0.500
W 0.000 0.000 0.000

- crystal system = trigonal
- theoretical density (g/cm3) = 8.31
- space-group type = No. 166



Entry d
Material: Sr2TcW
Method: DFT, PBE-GGA
State: relaxed

Cell lengths 5.059, 5.059, 5.059 Å; angles 60.00, 60.00, 60.00 degrees
Sites, in units of the cell vectors:
Sr 0.000 0.000 0.000
Sr 0.250 0.250 0.250
Tc 0.750 0.750 0.750
W 0.500 0.500 0.500

- crystal system = cubic
- theoretical density (g/cm3) = 8.29
- space-group type = No. 216



How do the energies compare? Relative to the most stable structure, in meV per atom: entry a 586; entry b 0; entry c 783; entry d 574.



Entry a
Material: Sr2TcW
Method: DFT, PBE-GGA
State: relaxed

Cell lengths 6.346, 6.346, 6.346 Å; angles 146.55, 127.34, 63.84 degrees
Sites, in units of the cell vectors:
Sr 0.000 0.000 0.000
Sr 0.708 0.208 0.500
Tc 0.274 0.774 0.500
W 0.415 0.415 0.000

- crystal system = orthorhombic
- theoretical density (g/cm3) = 6.85
- space-group type = No. 44



Entry b
Material: Sr2TcW
Method: DFT, PBE-GGA
State: relaxed

Cell lengths 4.050, 4.050, 5.382 Å; angles 90.00, 90.00, 90.00 degrees
Sites, in units of the cell vectors:
Sr 0.000 0.500 0.000
Sr 0.500 0.000 0.000
Tc 0.000 0.000 0.500
W 0.500 0.500 0.500

- crystal system = tetragonal
- theoretical density (g/cm3) = 8.60
- space-group type = No. 123



Entry c
Material: Sr2TcW
Method: DFT, PBE-GGA
State: relaxed

Cell lengths 5.862, 5.862, 2.843 Å; angles 90.00, 90.00, 90.00 degrees
Sites, in units of the cell vectors:
Sr 0.000 0.500 0.000
Sr 0.500 0.000 0.000
Tc 0.000 0.000 0.500
W 0.500 0.500 0.500

- crystal system = tetragonal
- theoretical density (g/cm3) = 7.77
- space-group type = No. 123



Entry d
Material: Sr2TcW
Method: DFT, PBE-GGA
State: relaxed

Cell lengths 2.887, 5.360, 5.736 Å; angles 90.00, 90.00, 90.00 degrees
Sites, in units of the cell vectors:
Sr 0.000 0.000 0.248
Sr 0.000 0.000 0.752
Tc 0.500 0.500 0.000
W 0.500 0.500 0.500

- crystal system = orthorhombic
- theoretical density (g/cm3) = 8.55
- space-group type = No. 47



How do the energies compare? Relative to the most stable structure, in meV per atom: entry a 0; entry b 591; entry c 908; entry d 601.



Entry a
Material: Sr2TcW
Method: DFT, PBE-GGA
State: relaxed

Cell lengths 3.368, 3.369, 9.727 Å; angles 90.00, 90.08, 90.00 degrees
Sites, in units of the cell vectors:
Sr 0.000 0.000 0.000
Sr 0.499 0.500 0.394
Tc 0.999 0.000 0.637
W 0.499 0.500 0.747

- crystal system = monoclinic
- theoretical density (g/cm3) = 6.88
- space-group type = No. 6



Entry b
Material: Sr2TcW
Method: DFT, PBE-GGA
State: relaxed

Cell lengths 9.131, 9.131, 9.131 Å; angles 26.72, 26.72, 26.72 degrees
Sites, in units of the cell vectors:
Sr 0.000 0.000 0.000
Sr 0.181 0.181 0.181
Tc 0.753 0.753 0.753
W 0.427 0.427 0.427

- crystal system = trigonal
- theoretical density (g/cm3) = 5.59
- space-group type = No. 160



How do the energies compare? Relative to the most stable structure, in meV per atom: entry a 53; entry b 0.



Entry a
Material: SrTc2W2
Method: DFT, PBE-GGA
State: relaxed

Cell lengths 6.345, 6.345, 6.345 Å; angles 140.10, 140.10, 57.70 degrees
Sites, in units of the cell vectors:
Sr 0.000 0.000 0.000
Tc 0.373 0.373 0.000
Tc 0.627 0.627 0.000
W 0.250 0.750 0.500
W 0.750 0.250 0.500

- crystal system = tetragonal
- theoretical density (g/cm3) = 10.38
- space-group type = No. 139



Entry b
Material: SrTc2W2
Method: DFT, PBE-GGA
State: relaxed

Cell lengths 7.992, 7.992, 2.901 Å; angles 90.00, 90.00, 90.00 degrees
Sites, in units of the cell vectors:
Sr 0.000 0.000 0.000
Sr 0.500 0.500 0.000
Tc 0.145 0.355 0.000
Tc 0.355 0.855 0.000
Tc 0.645 0.145 0.000
Tc 0.855 0.645 0.000
W 0.139 0.639 0.500
W 0.361 0.139 0.500
W 0.639 0.861 0.500
W 0.861 0.361 0.500

- crystal system = tetragonal
- theoretical density (g/cm3) = 11.67
- space-group type = No. 127



How do the energies compare? Relative to the most stable structure, in meV per atom: entry a 0; entry b 157.



Entry a
Material: Sr3TcW
Method: DFT, PBE-GGA
State: relaxed

Cell lengths 5.654, 5.654, 5.654 Å; angles 90.00, 90.00, 90.00 degrees
Sites, in units of the cell vectors:
Sr 0.000 0.000 0.500
Sr 0.000 0.500 0.000
Sr 0.500 0.000 0.000
Tc 0.000 0.000 0.000
W 0.500 0.500 0.500

- crystal system = cubic
- theoretical density (g/cm3) = 5.00
- space-group type = No. 221



Entry b
Material: Sr3TcW
Method: DFT, PBE-GGA
State: relaxed

Cell lengths 5.767, 5.767, 5.767 Å; angles 90.00, 90.00, 90.00 degrees
Sites, in units of the cell vectors:
Sr 0.000 0.000 0.500
Sr 0.000 0.500 0.000
Sr 0.500 0.000 0.000
Tc 0.500 0.500 0.500
W 0.000 0.000 0.000

- crystal system = cubic
- theoretical density (g/cm3) = 4.72
- space-group type = No. 221



How do the energies compare? Relative to the most stable structure, in meV per atom: entry a 0; entry b 214.